No. 1
DFT (GGA-PBE) results for an optimized crystal structure of Nb2Bi2PbO9.

Results
M_tot = 0.000 μB/atom
Polymorph energy (0 for the lowest one) = 0 meV per atom
Symmetry = Cmc2_1
Volume = 13.82 A^3/atom

Structure (POSCAR):
```
Nb2Bi2PbO9
1.0
-5.3332 10.9570 4.0181
-8.5579 7.1051 6.3971
3.3167 -0.0215 4.4608
Bi O Nb Pb
4 18 4 2
direct
0.0229 0.5770 0.5703
0.9771 0.4230 0.0703
0.5770 0.0229 0.0703
0.4230 0.9771 0.5703
0.6986 0.3014 0.4817
0.0413 0.1013 0.7731
0.6334 0.5459 0.2031
0.7566 0.7392 0.2950
0.8987 0.9587 0.7731
0.3014 0.6986 0.9817
0.1013 0.0413 0.2731
0.6557 0.0232 0.4903
0.2608 0.2434 0.2950
0.7392 0.7566 0.7950
0.2434 0.2608 0.7950
0.4541 0.3666 0.2031
0.9587 0.8987 0.2731
0.9768 0.3443 0.4903
0.3666 0.4541 0.7031
0.0232 0.6557 0.9903
0.5459 0.6334 0.7031
0.3443 0.9768 0.9903
0.6614 0.1648 0.5170
0.1648 0.6614 0.0170
0.3386 0.8352 0.0170
0.8352 0.3386 0.5170
0.7469 0.2531 0.0371
0.2531 0.7469 0.5371
```



No. 2
DFT (GGA-PBE) results for an optimized crystal structure of TbNdBi4Au2.

Results
M_tot = 0.003 μB/atom
Symmetry = P4mm
Volume = 26.90 A^3/atom
VASP energy = -0.3360 Ry per atom

Structure (POSCAR):
```
TbNdBi4Au2
1.0
-4.3547 1.5936 0.1700
-1.1809 -2.8579 -3.4597
-2.3335 -7.0864 6.6501
Bi Au Nd Tb
4 2 1 1
direct
0.0000 0.5000 0.4949
0.5000 0.5000 0.8081
0.0000 0.0000 0.1974
0.5000 0.0000 0.4949
0.5000 0.0000 0.0055
0.0000 0.5000 0.0055
0.0000 0.0000 0.7641
0.5000 0.5000 0.2295
```



No. 3
DFT (GGA-PBE) results for an optimized crystal structure of CsPrCdS3.

Results
M_tot = 0.000 μB/atom
Polymorph energy (0 for the lowest one) = 27 meV per atom
Symmetry = P2_1/m
Volume = 32.27 A^3/atom

Structure (POSCAR):
```
CsPrCdS3
1.0
8.7646 0.0000 0.0000
0.0000 4.2929 0.0000
-3.8107 0.0000 10.2908
Pr Cd S Cs
2 2 6 2
direct
0.6865 0.2500 0.1309
0.3135 0.7500 0.8691
0.9170 0.7500 0.3892
0.0830 0.2500 0.6108
0.7796 0.2500 0.4360
0.2204 0.7500 0.5640
0.4705 0.7500 0.1360
0.5295 0.2500 0.8640
0.0828 0.2500 0.8388
0.9172 0.7500 0.1612
0.2660 0.2500 0.2815
0.7340 0.7500 0.7185
```



No. 4
DFT (GGA-PBE) results for an optimized crystal structure of TbGdPd.

Results
M_tot = 0.007 μB/atom
Formation enthalpy at 0 K = -0.45 eV per atom
Polymorph energy (0 for the lowest one) = 0 meV per atom
Symmetry = F-43m
Volume = 27.71 A^3/atom

Structure (POSCAR):
```
TbGdPd
1.0
0.4546 0.7379 4.8217
-3.0333 -2.2514 3.1193
1.6726 -3.5921 2.8808
Gd Pd Tb
1 1 1
direct
0.2500 0.2500 0.2500
0.0000 0.0000 0.0000
0.7500 0.7500 0.7500
```



No. 5
DFT (GGA-PBE) results for an optimized crystal structure of Nd2Sm2Br5N2.

Results
M_tot = 0.001 μB/atom
Symmetry = C2/m
Volume = 25.79 A^3/atom
VASP energy = -0.4024 Ry per atom

Structure (POSCAR):
```
Nd2Sm2Br5N2
1.0
-5.4400 -0.3002 7.9345
-2.5068 -2.3602 8.9880
4.5277 6.9043 0.8946
N Sm Nd Br
2 2 2 5
direct
0.5377 0.5377 0.5218
0.4623 0.4623 0.4782
0.6604 0.6604 0.5987
0.3396 0.3396 0.4013
0.0000 0.0000 0.3034
0.0000 0.0000 0.6966
0.8293 0.8293 0.6790
0.1612 0.1612 0.8743
0.1707 0.1707 0.3210
0.8388 0.8388 0.1257
0.5000 0.5000 0.0000
```



No. 6
DFT (GGA-PBE) results for an optimized crystal structure of ZnAg2F4.

Results
Symmetry = Pbam
Volume = 13.03 A^3/atom
VASP energy = -0.2641 Ry per atom

Structure (POSCAR):
```
ZnAg2F4
1.0
6.1178 0.0000 0.0000
0.0000 9.6818 0.0000
0.0000 0.0000 3.0796
Ag F Zn
4 8 2
direct
0.9441 0.6560 0.5000
0.5559 0.1560 0.5000
0.4441 0.8440 0.5000
0.0559 0.3440 0.5000
0.7028 0.4422 0.5000
0.2028 0.0578 0.5000
0.3619 0.3119 0.0000
0.7972 0.9422 0.5000
0.2972 0.5578 0.5000
0.6381 0.6881 0.0000
0.8619 0.1881 0.0000
0.1381 0.8119 0.0000
0.0000 0.0000 0.0000
0.5000 0.5000 0.0000
```



No. 7
DFT (GGA-PBE) results for an optimized crystal structure of KRbPdF2.

Results
Symmetry = I4mm
Volume = 20.10 A^3/atom
VASP energy = -0.2882 Ry per atom

Structure (POSCAR):
```
KRbPdF2
1.0
1.7566 -6.9526 -0.8781
-3.0913 -6.3290 1.6070
-0.5841 6.6327 -2.8038
Rb Pd F K
1 1 2 1
direct
0.6403 0.6403 0.0000
0.0004 0.0004 0.0000
0.8428 0.8428 0.0000
0.1599 0.1599 0.0000
0.3565 0.3565 0.0000
```



No. 8
DFT (GGA-PBE) results for an optimized crystal structure of GePdSO.

Results
Polymorph energy (0 for the lowest one) = 93 meV per atom
Symmetry = P2_12_12_1
Volume = 20.69 A^3/atom

Structure (POSCAR):
```
GePdSO
1.0
5.1929 0.0000 0.0000
0.0000 7.5966 0.0000
0.0000 0.0000 8.3924
S O Pd Ge
4 4 4 4
direct
0.9799 0.9027 0.1755
0.4799 0.5973 0.8245
0.5201 0.0973 0.6755
0.0201 0.4027 0.3245
0.4552 0.2303 0.0678
0.5448 0.7303 0.4322
0.0448 0.7697 0.5678
0.9552 0.2697 0.9322
0.7396 0.7716 0.9802
0.2604 0.2716 0.5198
0.7604 0.2284 0.4802
0.2396 0.7284 0.0198
0.3813 0.7913 0.6135
0.8813 0.7087 0.3866
0.6187 0.2913 0.8865
0.1187 0.2087 0.1134
```



No. 9
DFT (GGA-PBE) results for an optimized crystal structure of KGaPt.

Results
M_tot = 0.001 μB/atom
Symmetry = F-43m
Volume = 25.58 A^3/atom
VASP energy = -0.2437 Ry per atom

Structure (POSCAR):
```
KGaPt
1.0
0.0000 3.3727 3.3727
3.3727 0.0000 3.3727
3.3727 3.3727 0.0000
K Ga Pt
1 1 1
direct
0.7500 0.7500 0.7500
0.2500 0.2500 0.2500
0.0000 0.0000 0.0000
```



No. 10
DFT (GGA-PBE) results for an optimized crystal structure of ScAgTe3Pb.

Results
M_tot = 0.000 μB/atom
Polymorph energy (0 for the lowest one) = 34 meV per atom
Symmetry = C2/m
Volume = 29.61 A^3/atom

Structure (POSCAR):
```
ScAgTe3Pb
1.0
9.5875 -2.1245 0.0000
9.5875 2.1245 0.0000
-1.7983 0.0000 8.7235
Te Sc Ag Pb
6 2 2 2
direct
0.6780 0.6780 0.8666
0.0000 0.0000 0.0000
0.6875 0.6875 0.3265
0.3125 0.3125 0.6735
0.5000 0.5000 0.5000
0.3220 0.3220 0.1334
0.1626 0.1626 0.0890
0.8374 0.8374 0.9110
0.5408 0.5408 0.2125
0.4592 0.4592 0.7875
0.1306 0.1306 0.5771
0.8694 0.8694 0.4229
```



No. 11
DFT (GGA-PBE) results for an optimized crystal structure of CsTbCoTe3.

Results
M_tot = 0.298 μB/atom
Polymorph energy (0 for the lowest one) = 102 meV per atom
Symmetry = Pnma
Volume = 32.95 A^3/atom

Structure (POSCAR):
```
CsTbCoTe3
1.0
-4.7283 -4.4707 -10.5682
3.8375 -2.4230 -0.6919
-5.4845 -10.6769 6.9704
Co Te Tb Cs
4 12 4 4
direct
0.2403 0.7500 0.7024
0.7597 0.2500 0.2976
0.2597 0.2500 0.2024
0.7403 0.7500 0.7976
0.3936 0.2500 0.0580
0.6064 0.7500 0.9420
0.7161 0.2500 0.7236
0.9445 0.7500 0.8107
0.5555 0.2500 0.3107
0.7839 0.7500 0.2236
0.4445 0.7500 0.6893
0.2161 0.2500 0.7764
0.8936 0.2500 0.4420
0.1064 0.7500 0.5580
0.0555 0.2500 0.1893
0.2839 0.7500 0.2764
0.5202 0.7500 0.1638
0.4798 0.2500 0.8362
0.9798 0.2500 0.6638
0.0202 0.7500 0.3362
0.1685 0.7500 0.9953
0.6685 0.7500 0.5047
0.8315 0.2500 0.0047
0.3315 0.2500 0.4953
```



No. 12
DFT (GGA-PBE) results for an optimized crystal structure of LiScAu2.

Results
M_tot = 0.001 μB/atom
Polymorph energy (0 for the lowest one) = 44 meV per atom
Symmetry = P4/mmm
Volume = 18.04 A^3/atom

Structure (POSCAR):
```
LiScAu2
1.0
-3.4741 -2.0488 2.3628
-1.1624 -2.4327 -3.8185
2.0516 -2.4206 0.9176
Au Sc Li
2 1 1
direct
0.5000 0.0000 0.5000
0.0000 0.5000 0.5000
0.0000 0.0000 0.0000
0.5000 0.5000 0.0000
```



Look up the volume of the ninth one. 25.58 A^3/atom



Which formula does entry 6 have? ZnAg2F4



Look up the volume of the seventh one. 20.10 A^3/atom